# Sr2TaMoP6 (PBE, optimized geometry)
# * total moment: 0.0 μB/cell
# * space-group type: R-3m (166)
# * E: -127.23 eV for the cell shown
data_Sr2TaMoP6
_symmetry_space_group_name_H-M 'P 1'
_symmetry_Int_Tables_number 1
_symmetry_space_group_name_Hall 'P 1'
_cell_length_a 13.058
_cell_length_b 13.058
_cell_length_c 13.058
_cell_angle_alpha 26.63
_cell_angle_beta 26.63
_cell_angle_gamma 26.63
loop_
_atom_site_label
_atom_site_type_symbol
_atom_site_fract_x
_atom_site_fract_y
_atom_site_fract_z
_atom_site_occupancy
Sr1 Sr 0.109 0.109 0.109 1
Sr2 Sr 0.294 0.294 0.294 1
Sr3 Sr 0.706 0.706 0.706 1
Sr4 Sr 0.891 0.891 0.891 1
Ta1 Ta 0.427 0.427 0.427 1
Ta2 Ta 0.573 0.573 0.573 1
Mo1 Mo 0.000 0.000 0.000 1
Mo2 Mo 0.500 0.500 0.500 1
P1 P 0.060 0.663 0.663 1
P2 P 0.231 0.231 0.655 1
P3 P 0.231 0.655 0.231 1
P4 P 0.337 0.337 0.940 1
P5 P 0.337 0.940 0.337 1
P6 P 0.345 0.769 0.769 1
P7 P 0.655 0.231 0.231 1
P8 P 0.663 0.060 0.663 1
P9 P 0.663 0.663 0.060 1
P10 P 0.769 0.345 0.769 1
P11 P 0.769 0.769 0.345 1
P12 P 0.940 0.337 0.337 1